# 1
Compound: MnCr2Fe5Re2
Source: Alexandria
Functional: PBE
Structure: optimized geometry

Results
ΔE_f = 2.836 eV per formula unit

a = 8.0893 Å, b = 8.0893 Å, c = 3.7526 Å
α = 90.00°, β = 90.00°, γ = 90.00°
Last column: nearest neighbours and their distance in Å.
Fractional coordinates of all 20 atoms:
Mn (0.0000, 0.0000, 0.0000)  8 Fe 2.54
Mn (0.5000, 0.5000, 0.0000)  8 Fe 2.54
Cr (0.1274, 0.3726, 0.0000)  3 Re 2.33-2.42, 6 Fe 2.38-2.39
Cr (0.3726, 0.8726, 0.0000)  3 Re 2.33-2.42, 6 Fe 2.38-2.39
Cr (0.6274, 0.1274, 0.0000)  3 Re 2.33-2.42, 6 Fe 2.38-2.39
Cr (0.8726, 0.6274, 0.0000)  3 Re 2.33-2.42, 6 Fe 2.38-2.39
Fe (0.0000, 0.5000, 0.5000)  4 Cr 2.38, 4 Fe 2.48
Fe (0.0671, 0.2003, 0.5000)  2 Cr 2.39, 4 Fe 2.42-2.66, 2 Mn 2.54
Fe (0.2003, 0.9329, 0.5000)  2 Cr 2.39, 4 Fe 2.42-2.66, 2 Mn 2.54
Fe (0.2997, 0.4329, 0.5000)  2 Cr 2.39, 4 Fe 2.42-2.66, 2 Mn 2.54
Fe (0.4329, 0.7003, 0.5000)  2 Cr 2.39, 4 Fe 2.42-2.66, 2 Mn 2.54
Fe (0.5000, 0.0000, 0.5000)  4 Cr 2.38, 4 Fe 2.48
Fe (0.5671, 0.2997, 0.5000)  2 Cr 2.39, 4 Fe 2.42-2.66, 2 Mn 2.54
Fe (0.7003, 0.5671, 0.5000)  2 Cr 2.39, 4 Fe 2.42-2.66, 2 Mn 2.54
Fe (0.7997, 0.0671, 0.5000)  2 Cr 2.39, 4 Fe 2.42-2.66, 2 Mn 2.54
Fe (0.9329, 0.7997, 0.5000)  2 Cr 2.39, 4 Fe 2.42-2.66, 2 Mn 2.54
Re (0.1691, 0.6691, 0.0000)  3 Cr 2.33-2.42
Re (0.3309, 0.1691, 0.0000)  3 Cr 2.33-2.42
Re (0.6691, 0.8309, 0.0000)  3 Cr 2.33-2.42
Re (0.8309, 0.3309, 0.0000)  3 Cr 2.33-2.42



# 2
Compound: MnCrFeRu
Source: Alexandria
Functional: PBE
Structure: optimized geometry

Results
ΔE_f = 0.440 eV per formula unit

a = 4.1805 Å, b = 4.1805 Å, c = 4.1805 Å
α = 60.00°, β = 60.00°, γ = 60.00°
Last column: nearest neighbours and their distance in Å.
Fractional coordinates of all 4 atoms:
Mn (0.0000, 0.0000, 0.0000)  4 Ru 2.56, 4 Cr 2.56
Cr (0.2500, 0.2500, 0.2500)  4 Mn 2.56, 4 Fe 2.56
Fe (0.5000, 0.5000, 0.5000)  4 Cr 2.56, 4 Ru 2.56
Ru (0.7500, 0.7500, 0.7500)  4 Fe 2.56, 4 Mn 2.56



# 3
Compound: Mn5CrFe2Ru2
Source: Alexandria
Functional: PBE
Structure: optimized geometry

Results
ΔE_f = 2.447 eV per formula unit

a = 7.9856 Å, b = 7.9856 Å, c = 3.7244 Å
α = 90.00°, β = 90.00°, γ = 90.00°
Last column: nearest neighbours and their distance in Å.
Fractional coordinates of all 20 atoms:
Mn (0.0000, 0.5000, 0.0000)  4 Fe 2.33, 4 Mn 2.49
Mn (0.0692, 0.1963, 0.0000)  3 Mn 2.35-2.49, 2 Fe 2.39, 2 Cr 2.50
Mn (0.1963, 0.9308, 0.0000)  3 Mn 2.35-2.49, 2 Fe 2.39, 2 Cr 2.50
Mn (0.3037, 0.4308, 0.0000)  3 Mn 2.35-2.49, 2 Fe 2.39, 2 Cr 2.50
Mn (0.4308, 0.6963, 0.0000)  3 Mn 2.35-2.49, 2 Fe 2.39, 2 Cr 2.50
Mn (0.5000, 0.0000, 0.0000)  4 Fe 2.33, 4 Mn 2.49
Mn (0.5692, 0.3037, 0.0000)  3 Mn 2.35-2.49, 2 Fe 2.39, 2 Cr 2.50
Mn (0.6963, 0.5692, 0.0000)  3 Mn 2.35-2.49, 2 Fe 2.39, 2 Cr 2.50
Mn (0.8037, 0.0692, 0.0000)  3 Mn 2.35-2.49, 2 Fe 2.39, 2 Cr 2.50
Mn (0.9308, 0.8037, 0.0000)  3 Mn 2.35-2.49, 2 Fe 2.39, 2 Cr 2.50
Cr (0.0000, 0.0000, 0.5000)  8 Mn 2.50
Cr (0.5000, 0.5000, 0.5000)  8 Mn 2.50
Fe (0.1243, 0.3757, 0.5000)  3 Ru 2.29-2.40, 6 Mn 2.33-2.39
Fe (0.3757, 0.8757, 0.5000)  3 Ru 2.29-2.40, 6 Mn 2.33-2.39
Fe (0.6243, 0.1243, 0.5000)  3 Ru 2.29-2.40, 6 Mn 2.33-2.39
Fe (0.8757, 0.6243, 0.5000)  3 Ru 2.29-2.40, 6 Mn 2.33-2.39
Ru (0.1725, 0.6725, 0.5000)  3 Fe 2.29-2.40
Ru (0.3275, 0.1725, 0.5000)  3 Fe 2.29-2.40
Ru (0.6725, 0.8275, 0.5000)  3 Fe 2.29-2.40
Ru (0.8275, 0.3275, 0.5000)  3 Fe 2.29-2.40



# 4
Compound: MnCrFe2S
Source: Alexandria
Functional: PBE
Structure: optimized geometry

Results
DFT total energy = -7.314 eV/atom

a = 4.0801 Å, b = 4.0801 Å, c = 4.1493 Å
α = 90.00°, β = 90.00°, γ = 90.00°
Last column: nearest neighbours and their distance in Å.
Fractional coordinates of all 5 atoms:
Mn (0.0000, 0.0000, 0.0000)  4 Cr 2.89, 8 Fe 2.91
Cr (0.5000, 0.5000, 0.0000)  2 S 2.07
Fe (0.0000, 0.5000, 0.5000)  2 S 2.04
Fe (0.5000, 0.0000, 0.5000)  2 S 2.04
S (0.5000, 0.5000, 0.5000)  4 Fe 2.04, 2 Cr 2.07



# 5
Compound: MnCrFeSb
Source: Alexandria
Functional: PBE
Structure: optimized geometry

Results
DFT total energy = -7.745 eV/atom

a = 4.2792 Å, b = 4.2792 Å, c = 4.2792 Å
α = 60.00°, β = 60.00°, γ = 60.00°
Last column: nearest neighbours and their distance in Å.
Fractional coordinates of all 4 atoms:
Mn (0.0000, 0.0000, 0.0000)  4 Cr 2.62, 4 Fe 2.62
Cr (0.7500, 0.7500, 0.7500)  4 Sb 2.62, 4 Mn 2.62
Fe (0.2500, 0.2500, 0.2500)  4 Mn 2.62, 4 Sb 2.62
Sb (0.5000, 0.5000, 0.5000)  4 Cr 2.62, 4 Fe 2.62



# 6
Compound: MnCrFe2Se
Source: Alexandria
Functional: PBE
Structure: optimized geometry

Results
DFT total energy = -6.536 eV/atom

a = 4.2624 Å, b = 4.2624 Å, c = 4.3647 Å
α = 90.00°, β = 90.00°, γ = 90.00°
Last column: nearest neighbours and their distance in Å.
Fractional coordinates of all 5 atoms:
Mn (0.0000, 0.0000, 0.0000)  4 Fe 2.13, 2 Se 2.18
Cr (0.5000, 0.5000, 0.5000)  4 Se 3.01, 8 Fe 3.05
Fe (0.0000, 0.5000, 0.0000)  2 Mn 2.13
Fe (0.5000, 0.0000, 0.0000)  2 Mn 2.13
Se (0.0000, 0.0000, 0.5000)  2 Mn 2.18